Record 1
The following is a DFT calculation (PBE-GGA) of a relaxed PrGePt2 crystal.

```
data_PrGePt2
_symmetry_space_group_name_H-M 'P n m a'
_symmetry_Int_Tables_number 62
_cell_length_a 7.6560
_cell_length_b 7.0863
_cell_length_c 5.8428
_cell_angle_alpha 90.00
_cell_angle_beta 90.00
_cell_angle_gamma 90.00
loop_
_symmetry_equiv_pos_as_xyz
'x,y,z'
'-x,-y,-z'
'-x+1/2,-y,z+1/2'
'x+1/2,y,-z+1/2'
'x+1/2,-y+1/2,-z+1/2'
'-x+1/2,y+1/2,z+1/2'
'-x,y+1/2,-z'
'x,-y+1/2,z'
loop_
_atom_site_label
_atom_site_fract_x
_atom_site_fract_y
_atom_site_fract_z
Pr1 0.0270 0.2500 0.1447
Ge1 0.1234 0.7500 0.3562
Pt1 0.1812 0.0524 0.5842
```

E_tot (eV/cell): -101.41
Density of states at the Fermi level (states/eV/cell): 6.3
Spin magnetization (μB per atom): 0.000

=====

Record 2
The following is a DFT calculation (PBE-GGA) of a relaxed Cr2AgSb crystal.

```
data_Cr2AgSb
_symmetry_space_group_name_H-M 'R -3 m'
_symmetry_Int_Tables_number 166
_symmetry_space_group_name_Hall '-R 3 2"'
_cell_length_a 3.2329
_cell_length_b 3.2329
_cell_length_c 25.5798
_cell_angle_alpha 90.00
_cell_angle_beta 90.00
_cell_angle_gamma 120.00
loop_
_atom_site_label
_atom_site_fract_x
_atom_site_fract_y
_atom_site_fract_z
Cr1 0.0000 0.0000 0.2503
Ag1 0.0000 0.0000 0.5000
Sb1 0.0000 0.0000 0.0000
```

Uncorrected formation energy (eV/atom): 0.61
Density of states at the Fermi level (states/eV/cell): 10.2
Spin magnetization (μB per atom): 1.915

=====

Record 3
The following is a DFT calculation (PBE-GGA) of a relaxed ZrRe3Te crystal.

```
data_ZrRe3Te
_symmetry_space_group_name_H-M 'P m -3 m'
_symmetry_Int_Tables_number 221
_symmetry_space_group_name_Hall '-P 4 2 3'
_cell_length_a 4.8618
_cell_length_b 4.8618
_cell_length_c 4.8618
_cell_angle_alpha 90.00
_cell_angle_beta 90.00
_cell_angle_gamma 90.00
loop_
_atom_site_label
_atom_site_fract_x
_atom_site_fract_y
_atom_site_fract_z
Zr1 0.0000 0.0000 0.0000
Re1 0.0000 0.0000 0.5000
Te1 0.5000 0.5000 0.5000
```

Energy above the most stable polymorph in this dataset (eV per atom): 0.630
Uncorrected formation energy (eV/atom): 2.56
Density of states at the Fermi level (states/eV/cell): 7.5
Spin magnetization (μB per atom): 0.243

=====

- Among the records above, which one has the highest density of states at the Fermi level?
  Cr2AgSb

=====

What did the second record say?
The following is a DFT calculation (PBE-GGA) of a relaxed Cr2AgSb crystal.

```
data_Cr2AgSb
_symmetry_space_group_name_H-M 'R -3 m'
_symmetry_Int_Tables_number 166
_symmetry_space_group_name_Hall '-R 3 2"'
_cell_length_a 3.2329
_cell_length_b 3.2329
_cell_length_c 25.5798
_cell_angle_alpha 90.00
_cell_angle_beta 90.00
_cell_angle_gamma 120.00
loop_
_atom_site_label
_atom_site_fract_x
_atom_site_fract_y
_atom_site_fract_z
Cr1 0.0000 0.0000 0.2503
Ag1 0.0000 0.0000 0.5000
Sb1 0.0000 0.0000 0.0000
```

Uncorrected formation energy (eV/atom): 0.61
Density of states at the Fermi level (states/eV/cell): 10.2
Spin magnetization (μB per atom): 1.915

=====

- Which of these has the highest spin magnetization?
  Cr2AgSb